KZnH2Pb | PBE | optimized geometry Values from VASP.

Summary:
E: -2.245 eV per atom
size of the total moment: 0.00 μB/cell
space-group type: P4/mmm, No. 123

The structure in Quantum ESPRESSO input format:
```
&SYSTEM
  ibrav = 0, nat = 5, ntyp = 4
/
ATOMIC_SPECIES
Pb 207.20 Pb.upf
H 1.01 H.upf
K 39.10 K.upf
Zn 65.41 Zn.upf
CELL_PARAMETERS angstrom
4.629 0.000 0.000
0.000 5.614 0.000
0.000 0.000 4.629
ATOMIC_POSITIONS angstrom
Pb 0.000 0.000 0.000
H 2.315 0.000 0.000
H 0.000 0.000 2.315
K 2.315 2.807 2.315
Zn 0.000 2.807 0.000
```

Sc2PtBr | PBE | optimized geometry Values from VASP.

Summary:
energy relative to the elements, uncorrected: -972 meV/atom
size of the total moment: 0.00 μB/cell
space-group type: Imm2, No. 44

The structure in Quantum ESPRESSO input format:
```
&SYSTEM
  ibrav = 0, nat = 4, ntyp = 3
/
ATOMIC_SPECIES
Sc 44.96 Sc.upf
Br 79.90 Br.upf
Pt 195.08 Pt.upf
CELL_PARAMETERS angstrom
-3.294 -5.640 4.195
1.061 -4.483 6.248
0.090 6.785 -3.770
ATOMIC_POSITIONS angstrom
Sc -2.221 -2.230 3.103
Sc -0.154 -0.698 0.720
Br -1.009 -4.571 4.716
Pt 0.123 -0.900 3.355
```

AcPmYTm | PBE | optimized geometry Values from VASP.

Summary:
E: -4.842 eV per atom
size of the total moment: 0.00 μB/cell
space-group type: Imm2, No. 44

The structure in Quantum ESPRESSO input format:
```
&SYSTEM
  ibrav = 0, nat = 4, ntyp = 4
/
ATOMIC_SPECIES
Ac 227.00 Ac.upf
Y 88.91 Y.upf
Tm 168.93 Tm.upf
Pm 145.00 Pm.upf
CELL_PARAMETERS angstrom
-3.233 -0.872 -2.100
1.256 -5.820 0.483
-5.458 2.201 3.773
ATOMIC_POSITIONS angstrom
Ac -2.706 -0.566 0.215
Y -3.608 -3.606 2.869
Tm -3.732 -3.915 -0.534
Pm -6.051 -1.148 1.892
```